Record 1
VASP calculation (GGA-PBE) on a geometry-optimized Ba2SrYGa structure.

Computed properties:
Energy relative to the elements = 3.898 eV per formula unit
Total energy = -2.2240 eV/atom
Magnetization = 0.00 μB per cell
DOS(E_F) = 8.0 states/eV/cell

Geometry as POSCAR:
```
Ba2SrYGa
1.0
6.665 0.000 0.000
0.000 6.665 0.000
0.000 0.000 5.599
Ba Sr Y Ga
2 1 1 1
Cartesian
0.000 3.333 0.000 Ba
3.333 0.000 0.000 Ba
0.000 0.000 0.000 Sr
3.333 3.333 2.799 Y
0.000 0.000 2.799 Ga
```


Record 2
VASP calculation (GGA-PBE) on a geometry-optimized BiPCS2 structure.

Computed properties:
Total energy = -4.3504 eV/atom
ΔE_f (raw) = 1003 meV/atom
Magnetization = 0.00 μB per cell
DOS(E_F) = 3.8 states/eV/cell

Geometry as POSCAR:
```
BiPCS2
1.0
4.410 0.000 0.000
0.000 4.410 0.000
0.000 0.000 4.150
Bi P C S
1 1 1 2
Cartesian
0.000 0.000 0.000 Bi
2.205 2.205 0.000 P
2.205 2.205 2.075 C
0.000 2.205 2.075 S
2.205 0.000 2.075 S
```


Record 3
VASP calculation (GGA-PBE) on a geometry-optimized Cu2WSI structure.

Computed properties:
Total energy = -3.4518 eV/atom
ΔE_f (raw) = 1913 meV/atom
Magnetization = 4.30 μB per cell
DOS(E_F) = 2.0 states/eV/cell

Geometry as POSCAR:
```
Cu2WSI
1.0
4.783 0.000 0.000
0.000 4.783 0.000
0.000 0.000 5.383
Cu W S I
2 1 1 1
Cartesian
0.000 2.392 0.000 Cu
2.392 0.000 0.000 Cu
0.000 0.000 2.692 W
2.392 2.392 2.692 S
2.392 2.392 0.000 I
```


Record 4
VASP calculation (GGA-PBE) on a geometry-optimized Er2TmGaN structure.

Computed properties:
Total energy = -5.9947 eV/atom
ΔE_f (raw) = -1005 meV/atom
Magnetization = 0.00 μB per cell
DOS(E_F) = 2.3 states/eV/cell

Geometry as POSCAR:
```
Er2TmGaN
1.0
4.692 0.000 0.000
0.000 4.692 0.000
0.000 0.000 4.662
Er Tm Ga N
2 1 1 1
Cartesian
0.000 2.346 0.000 Er
2.346 0.000 0.000 Er
0.000 0.000 2.331 Tm
2.346 2.346 2.331 Ga
0.000 0.000 0.000 N
```


Record 5
VASP calculation (GGA-PBE) on a geometry-optimized LiPmPrSb structure.

Computed properties:
Total energy = -4.4021 eV/atom
ΔE_f (raw) = -511 meV/atom
Magnetization = 0.00 μB per cell
DOS(E_F) = 3.4 states/eV/cell

Geometry as POSCAR:
```
LiPmPrSb
1.0
0.000 3.796 3.796
3.796 0.000 3.796
3.796 3.796 0.000
Li Pm Pr Sb
1 1 1 1
Cartesian
0.000 0.000 0.000 Li
5.693 5.693 5.693 Pm
1.898 1.898 1.898 Pr
3.796 3.796 3.796 Sb
```


Record 6
VASP calculation (GGA-PBE) on a geometry-optimized LiTl3Bi structure.

Computed properties:
Energy relative to the elements = 1.993 eV per formula unit
Total energy = -2.1801 eV/atom
Magnetization = 0.00 μB per cell
DOS(E_F) = 4.4 states/eV/cell

Geometry as POSCAR:
```
LiTl3Bi
1.0
6.110 0.000 0.000
0.000 6.110 0.000
0.000 0.000 6.110
Li Tl Bi
1 3 1
Cartesian
0.000 0.000 0.000 Li
0.000 3.055 3.055 Tl
3.055 0.000 3.055 Tl
3.055 3.055 0.000 Tl
3.055 3.055 3.055 Bi
```